A geometry-optimized Hf7Cu10 structure, computed with PBE.

a = 9.259 Å, b = 9.219 Å, c = 12.578 Å
α = 90.00°, β = 90.00°, γ = 90.00°
Space group Aea2 (No. 41)
One atom of each set of equivalent atoms:
1 Hf 0.000 0.000 0.000
2 Hf 0.000 0.000 0.311
3 Hf 0.000 0.000 0.622
4 Hf 0.192 0.190 0.811
5 Hf 0.249 0.237 0.561
6 Cu 0.006 0.204 0.457
7 Cu 0.008 0.204 0.165
8 Cu 0.102 0.394 0.311
9 Cu 0.205 0.484 0.666
10 Cu 0.205 0.484 0.957

Summary:
- Uncorrected energy: -6.458 eV per atom
- Size of the total moment: 0.02 μB/f.u.
- ΔE_f: -0.173 eV/atom